# 1
Zr2ZnSnH after structural relaxation, computed with GGA-PBEsol.

Unit cell a=4.3023 b=4.3023 c=4.2952 alpha=90.00 beta=90.00 gamma=90.00
Fractional positions:
H (0.0000, 0.0000, 0.0000)
Zn (0.0000, 0.0000, 0.5000)
Sn (0.5000, 0.5000, 0.5000)
Zr (0.0000, 0.5000, 0.0000)
Zr (0.5000, 0.0000, 0.0000)

Summary:
Space-group type: P4/mmm
DFT total energy (eV per cell): -29.28



# 2
K2IrBr after structural relaxation, computed with GGA-PBEsol.

Unit cell a=5.5761 b=4.5498 c=5.7627 alpha=113.25 beta=118.93 gamma=90.00
Fractional positions:
Br (0.4114, 0.4114, 0.8229)
Ir (0.3365, 0.8365, 0.6729)
K (0.0328, 0.0328, 0.0657)
K (0.7193, 0.2193, 0.4385)

Summary:
Space-group type: Imm2
Energy relative to the lowest polymorph listed for this composition (kJ/mol of formula units): 0
Energy relative to the elements, uncorrected (eV per atom): 0.08



# 3
SrAl4 after structural relaxation, computed with GGA-PBEsol.

Unit cell a=4.4015 b=4.4015 c=6.4153 alpha=110.06 beta=110.06 gamma=90.00
Fractional positions:
Sr (0.0000, 0.0000, 0.0000)
Al (0.7500, 0.2500, 0.5000)
Al (0.2500, 0.7500, 0.5000)
Al (0.6155, 0.6155, 0.2310)
Al (0.3845, 0.3845, 0.7690)

Summary:
Space-group type: I4/mmm
Formation enthalpy at 0 K (kJ/mol of formula units): -103



# 4
RbZnSb2As after structural relaxation, computed with GGA-PBEsol.

Unit cell a=5.5055 b=5.8918 c=5.8918 alpha=90.00 beta=90.00 gamma=90.00
Fractional positions:
Sb (0.0000, 0.0000, 0.5000)
Sb (0.0000, 0.5000, 0.0000)
As (0.5000, 0.0000, 0.0000)
Zn (0.5000, 0.5000, 0.5000)
Rb (0.0000, 0.0000, 0.0000)

Summary:
Space-group type: P4/mmm
Energy relative to the elements, uncorrected (eV per atom): 1.67



# 5
NbSiS2 after structural relaxation, computed with GGA-PBEsol.

Unit cell a=5.4797 b=5.4797 c=6.3985 alpha=115.35 beta=115.35 gamma=90.00
Fractional positions:
Nb (0.2500, 0.7500, 0.5000)
Nb (0.0000, 0.0000, 0.0000)
Si (0.7500, 0.2500, 0.5000)
Si (0.5000, 0.5000, 0.0000)
S (0.8525, 0.3750, 0.2500)
S (0.3975, 0.8750, 0.2500)
S (0.6250, 0.6025, 0.7500)
S (0.1250, 0.1475, 0.7500)

Summary:
Space-group type: I-42d
Energy relative to the elements, uncorrected (eV per atom): -0.01



# 6
Te3Br after structural relaxation, computed with GGA-PBEsol.

Unit cell a=4.2973 b=4.2973 c=8.1314 alpha=74.68 beta=74.68 gamma=60.00
Fractional positions:
Te (0.7567, 0.7567, 0.7300)
Te (0.5000, 0.5000, 0.5000)
Te (0.2433, 0.2433, 0.2700)
Br (0.0000, 0.0000, 0.0000)

Summary:
Space-group type: R-3m
Energy relative to the lowest polymorph listed for this composition (kJ/mol of formula units): 25
Energy relative to the elements, uncorrected (eV per atom): 0.04



# 7
RbReB2Pt after structural relaxation, computed with GGA-PBEsol.

Unit cell a=4.1706 b=4.1706 c=5.3608 alpha=90.00 beta=90.00 gamma=90.00
Each line ends with the local moment (μB).
Fractional positions:
Re (0.0000, 0.0000, 0.5000)  3.03
B (0.0000, 0.5000, 0.0000)  0.01
B (0.5000, 0.0000, 0.0000)  0.01
Rb (0.5000, 0.5000, 0.5000)  0.08
Pt (0.0000, 0.0000, 0.0000)  0.14

Summary:
Space-group type: P4/mmm
Formation enthalpy at 0 K (kJ/mol of formula units): 783



# 8
Ta5Pt3 after structural relaxation, computed with GGA-PBEsol.

Unit cell a=4.1146 b=5.6624 c=5.6624 alpha=95.11 beta=90.00 gamma=90.00
Fractional positions:
Pt (0.0000, 0.5000, 0.5000)
Pt (0.5000, 0.2438, 0.2438)
Pt (0.5000, 0.7562, 0.7562)
Ta (0.0000, 0.0000, 0.0000)
Ta (0.0000, 0.0000, 0.5000)
Ta (0.0000, 0.5000, 0.0000)
Ta (0.5000, 0.7305, 0.2695)
Ta (0.5000, 0.2695, 0.7305)

Summary:
Space-group type: Cmmm
Energy relative to the lowest polymorph listed for this composition (kJ/mol of formula units): 0
Formation enthalpy at 0 K (kJ/mol of formula units): -363